The following is a PBE calculation of TaNiGePtAu after structural relaxation, from the Alexandria database.

extended XYZ file:
```
10
Lattice="5.8871 0.0000 0.0016 0.0000 3.1211 0.0000 -1.7887 0.0000 8.8192" Properties=species:S:1:pos:R:3 pbc="T T T"
Ta 3.7114 0.0000 2.1434
Ta 2.8170 1.5606 6.5530
Ni -1.2148 0.0000 7.4697
Ni -0.3204 1.5606 3.0602
Ge 0.9958 0.0000 1.5965
Ge 0.1015 1.5606 6.0061
Pt 4.3342 0.0000 4.8284
Pt 5.2285 1.5606 0.4188
Au 1.7000 0.0000 4.1929
Au 0.8057 1.5606 8.6025
```

Results
Volume, A^3/atom: 16.21
SG: Cm, No. 8
Fermi-level density of states, states/eV/cell: 5.0
ΔH_f (0 K), eV per atom: -0.196
Crystal system: monoclinic
Electronic total energy, eV/atom: -6.5095

The following is a PBE calculation of AcPrSb2 after structural relaxation, from the Alexandria database.

extended XYZ file:
```
4
Lattice="3.5295 0.0000 0.0000 0.0000 6.0006 0.0000 0.0000 0.0000 6.0006" Properties=species:S:1:pos:R:3 pbc="T T T"
Pr 1.7648 0.0000 0.0000
Sb 0.0000 0.0000 3.0003
Sb 0.0000 3.0003 0.0000
Ac 1.7648 3.0003 3.0003
```

Results
Volume, A^3/atom: 31.77
SG: P4/mmm, No. 123
Formation energy from raw total energies, eV/atom: -0.921
Fermi-level density of states, states/eV/cell: 2.1
Crystal system: tetragonal
Electronic total energy, eV/atom: -5.2043

The following is a PBE calculation of GaBRu2 after structural relaxation, from the Alexandria database.

extended XYZ file:
```
8
Lattice="6.6691 0.0000 0.0000 0.0000 6.6691 0.0000 3.3346 3.3346 2.3662" Properties=species:S:1:pos:R:3 pbc="T T T"
Ru 4.3877 1.6673 0.5915
Ru 2.2814 5.0018 0.5915
Ru 5.0018 5.6160 1.7746
Ru 8.3364 7.7223 1.7746
B 3.3346 3.3346 0.0000
B 3.3346 6.6691 1.1831
Ga 0.0000 0.0000 0.0000
Ga 6.6691 3.3346 1.1831
```

Results
Volume, A^3/atom: 13.16
SG: I-42d, No. 122
Fermi-level density of states, states/eV/cell: 6.7
ΔH_f (0 K), eV per atom: 0.020
Crystal system: tetragonal
Electronic total energy, eV/atom: -7.0441